CsUBr4: optimized geometry, PBE.

Values from the calculation:
For the energy above the most stable polymorph in this dataset, the calculation gives 108 meV per atom.

Lattice parameters (Å, degrees): 10.9708 10.9708 4.3279 90.00 90.00 90.00
Site moments in Bohr magnetons follow the coordinates.
Positions (direct):
Br  0.7774  0.0000  0.3183  -0.02
Br  0.7226  0.5000  0.6817  -0.02
Br  0.5000  0.2774  0.3183  -0.02
Br  0.0000  0.2226  0.6817  -0.02
Br  0.0000  0.7774  0.6817  -0.02
Br  0.2774  0.5000  0.6817  -0.02
Br  0.2226  0.0000  0.3183  -0.02
Br  0.5000  0.7226  0.3183  -0.02
U  0.0000  0.0000  0.0000  2.85
U  0.5000  0.5000  0.0000  2.85
Cs  0.0000  0.5000  0.1823  0.00
Cs  0.5000  0.0000  0.8177  0.00

---

Cs5U2Br12: optimized geometry, PBE.

Lattice parameters (Å, degrees): 10.1341 10.2114 10.2114 62.38 65.37 65.37
Site moments in Bohr magnetons follow the coordinates.
Positions (direct):
Br  0.8099  0.1264  0.7135  -0.01
Br  0.1698  0.9117  0.9117  -0.02
Br  0.1578  0.5059  0.5059  -0.02
Br  0.1901  0.8736  0.2865  -0.01
Br  0.8422  0.4941  0.4941  -0.02
Br  0.7763  0.4837  0.8878  -0.01
Br  0.2237  0.5163  0.1122  -0.01
Br  0.2237  0.1122  0.5163  -0.01
Br  0.8302  0.0883  0.0883  -0.02
Br  0.1901  0.2865  0.8736  -0.01
Br  0.8099  0.7135  0.1264  -0.01
Br  0.7763  0.8878  0.4837  -0.01
U  0.0000  0.2502  0.7498  2.50
U  0.0000  0.7498  0.2502  2.50
Cs  0.4890  0.6917  0.6917  0.00
Cs  0.5000  0.0000  0.0000  0.00
Cs  0.5110  0.3083  0.3083  0.00
Cs  0.0255  0.7369  0.7369  0.00
Cs  0.9745  0.2631  0.2631  0.00

---

Cs2UBr7: optimized geometry, PBE.

Values from the calculation:
For the energy above the most stable polymorph in this dataset, the calculation gives 60 meV per atom.

Lattice parameters (Å, degrees): 8.6917 8.6917 8.6917 60.00 60.00 60.00
Site moments in Bohr magnetons follow the coordinates.
Positions (direct):
U  0.0000  0.0000  0.0000  1.36
Br  0.7786  0.7786  0.2214  -0.04
Br  0.2214  0.7786  0.2214  -0.04
Br  0.7786  0.2214  0.7786  -0.04
Br  0.7786  0.2214  0.2214  -0.04
Br  0.2214  0.2214  0.7786  -0.04
Br  0.2214  0.7786  0.7786  -0.04
Br  0.5000  0.5000  0.5000  -0.21
Cs  0.7500  0.7500  0.7500  0.00
Cs  0.2500  0.2500  0.2500  0.00

---

CsU2Br7: optimized geometry, PBE.

Lattice parameters (Å, degrees): 5.7945 8.8329 8.8329 116.87 90.00 90.00
Site moments in Bohr magnetons follow the coordinates.
Positions (direct):
Br  0.5000  0.0473  0.3271  -0.02
Br  0.5000  0.3271  0.0473  -0.02
Br  0.0000  0.7037  0.2963  -0.02
Br  0.0000  0.2963  0.7037  -0.02
Br  0.5000  0.6729  0.9527  -0.02
Br  0.5000  0.9527  0.6729  -0.02
Br  0.5000  0.5000  0.5000  -0.02
Cs  0.0000  0.0000  0.0000  0.00
U  0.5000  0.3052  0.6948  2.89
U  0.5000  0.6948  0.3052  2.89

---

Cs3UBr7: optimized geometry, PBE.

Lattice parameters (Å, degrees): 8.3631 8.3631 9.2000 62.94 62.94 85.22
Site moments in Bohr magnetons follow the coordinates.
Positions (direct):
Br  0.6683  0.6683  0.4110  -0.01
Br  0.1261  0.6505  0.1987  -0.02
Br  0.8049  0.8049  0.9002  -0.02
Br  0.9839  0.2973  0.7385  -0.02
Br  0.6505  0.1261  0.1987  -0.02
Br  0.2973  0.9839  0.7385  -0.02
Br  0.1332  0.1332  0.1355  -0.02
U  0.9538  0.9538  0.0401  2.09
Cs  0.5080  0.5080  0.9119  0.00
Cs  0.2271  0.7719  0.4884  0.00
Cs  0.7719  0.2271  0.4884  0.00

---

Cs2UBr6: optimized geometry, PBE.

Lattice parameters (Å, degrees): 8.0838 8.0838 8.0838 60.00 60.00 60.00
Site moments in Bohr magnetons follow the coordinates.
Positions (direct):
Br  0.2437  0.7563  0.7563  -0.03
Br  0.2437  0.2437  0.7563  -0.03
Br  0.2437  0.7563  0.2437  -0.03
Br  0.7563  0.2437  0.2437  -0.03
Br  0.7563  0.7563  0.2437  -0.03
Br  0.7563  0.2437  0.7563  -0.03
Cs  0.2500  0.2500  0.2500  0.00
Cs  0.7500  0.7500  0.7500  0.00
U  0.0000  0.0000  0.0000  2.12

---

Calculated E_tot (eV/atom), listed in the same order as above: -4.48, -4.01, -3.85, -4.88, -3.90, -4.16
Calculated E_form (uncorrected) (eV/atom), listed in the same order as above: -1.3370, -1.5454, -1.3756, -1.3694, -1.5797, -1.6051